(1)
A geometry-optimized Sr2CaH structure, computed with PBEsol.

Cell: 6.0791 6.0791 6.0791 Å, 60.00 60.00 60.00°
Closest atoms and distances in Å follow each position.
Sites, in units of the cell vectors:
Sr 0.2500 0.2500 0.2500  4 H 3.72, 4 Ca 3.72
Sr 0.7500 0.7500 0.7500  4 H 3.72, 4 Ca 3.72
Ca 0.0000 0.0000 0.0000  8 Sr 3.72
H 0.5000 0.5000 0.5000  8 Sr 3.72

Space group: No. 225
Total DFT energy (no corrections) (Ha/atom): -0.065

(2)
A geometry-optimized CaTa3H structure, computed with PBEsol.

Cell: 4.3216 4.3216 4.3216 Å, 90.00 90.00 90.00°
Closest atoms and distances in Å follow each position.
Sites, in units of the cell vectors:
Ca 0.0000 0.0000 0.0000  12 Ta 3.06
Ta 0.0000 0.5000 0.5000  2 H 2.16
Ta 0.5000 0.0000 0.5000  2 H 2.16
Ta 0.5000 0.5000 0.0000  2 H 2.16
H 0.5000 0.5000 0.5000  6 Ta 2.16

Space group: No. 221
Total DFT energy (no corrections) (Ha/atom): -0.296

(3)
A geometry-optimized Ca2TeH2 structure, computed with PBEsol.

Cell: 6.5189 6.5189 6.5189 Å, 145.06 145.06 50.24°
Closest atoms and distances in Å follow each position.
Sites, in units of the cell vectors:
Ca 0.1502 0.1502 0.0000  4 H 2.28
Ca 0.8498 0.8498 0.0000  4 H 2.28
Te 0.5000 0.5000 0.0000  8 Ca 3.29, 8 H 3.54
H 0.2500 0.7500 0.5000  4 Ca 2.28
H 0.7500 0.2500 0.5000  4 Ca 2.28

Space group: No. 139
Total DFT energy (no corrections) (Ha/atom): -0.143